Density functional theory data (PBE) for a relaxed structure of HAu5.

Summary:
E, eV/atom: -2.788
V, Å³ per cell: 123
SG: P6/mmm

Cell: 5.532 5.532 4.632 Å, 90.00 90.00 120.00°
Element x y z (fractional)
H 0.000 0.000 0.000
Au 0.333 0.667 0.000
Au 0.500 0.000 0.500
Au 0.667 0.333 0.000
Au 0.500 0.500 0.500
Au 0.000 0.500 0.500

***

Density functional theory data (PBE) for a relaxed structure of BaHgPd2Pb.

Summary:
E, eV/atom: -3.688
V, Å³ per cell: 134
SG: I4mm

Cell: 6.434 6.434 6.434 Å, 134.45 134.45 66.39°
Element x y z (fractional)
Pd 0.252 0.752 0.500
Ba 0.999 0.999 0.000
Hg 0.640 0.640 0.000
Pb 0.357 0.357 0.000
Pd 0.752 0.252 0.500

***

Density functional theory data (PBE) for a relaxed structure of ScOsPb2O6.

Summary:
Magnetic moment, μB/atom: 0.2379
V, Å³ per cell: 129
SG: Fm-3m
Excess energy over the best structure of this formula in the dataset, eV per atom: 0.000

Cell: 5.673 5.673 5.673 Å, 60.00 60.00 60.00°
Each line ends with the local moment (μB).
Element x y z (fractional)
O 0.758 0.242 0.242  0.08
Sc 0.500 0.500 0.500  0.02
Pb 0.750 0.750 0.750  0.03
Pb 0.250 0.250 0.250  0.03
O 0.242 0.242 0.758  0.09
Os 0.000 0.000 0.000  1.53
O 0.758 0.242 0.758  0.09
O 0.758 0.758 0.242  0.09
O 0.242 0.758 0.242  0.09
O 0.242 0.758 0.758  0.08

***

Density functional theory data (PBE) for a relaxed structure of TbGdGa4Ir2.

Summary:
Magnetic moment, μB/atom: 0.0018
E, eV/atom: -5.633
V, Å³ per cell: 148
SG: Amm2

Cell: 6.728 5.525 5.525 Å, 46.29 90.00 90.00°
Element x y z (fractional)
Gd 0.000 0.917 0.917
Tb 0.500 0.084 0.084
Ir 0.000 0.204 0.204
Ga 0.804 0.634 0.634
Ga 0.695 0.366 0.366
Ir 0.500 0.796 0.796
Ga 0.305 0.366 0.366
Ga 0.196 0.634 0.634

***

Density functional theory data (PBE) for a relaxed structure of SmEr2Sn3PdPt2.

Summary:
Magnetic moment, μB/atom: 0.0003
E, eV/atom: -5.833
V, Å³ per cell: 198
SG: Amm2

Cell: 4.035 7.545 7.545 Å, 120.38 90.00 90.00°
Element x y z (fractional)
Pd 0.000 0.005 0.005
Sn 0.500 0.744 0.000
Sn 0.500 0.000 0.744
Er 0.000 0.999 0.409
Pt 0.500 0.328 0.669
Sm 0.000 0.589 0.589
Pt 0.500 0.669 0.328
Sn 0.500 0.257 0.257
Er 0.000 0.409 0.999

***

Density functional theory data (PBE) for a relaxed structure of PrInSi.

Summary:
Magnetic moment, μB/atom: 0.0018
E, eV/atom: -4.530
V, Å³ per cell: 80
SG: F-43m

Cell: 4.837 4.837 4.837 Å, 60.00 60.00 60.00°
Element x y z (fractional)
Si 0.000 0.000 0.000
Pr 0.750 0.750 0.750
In 0.250 0.250 0.250

***

Density functional theory data (PBE) for a relaxed structure of Sc4Ge3Mo2N3.

Summary:
Magnetic moment, μB/atom: 0.0002
E, eV/atom: -8.139
V, Å³ per cell: 344
SG: C2/c

Cell: 5.489 5.489 13.553 Å, 101.63 101.63 60.19°
Element x y z (fractional)
Mo 0.471 0.632 0.415
Mo 0.368 0.529 0.085
N 0.843 0.328 0.500
Sc 0.860 0.699 0.593
Ge 0.878 0.122 0.750
N 0.157 0.672 0.500
N 0.500 0.000 0.500
Sc 0.972 0.798 0.906
Mo 0.529 0.368 0.585
Sc 0.699 0.860 0.093
Ge 0.122 0.878 0.250
Sc 0.140 0.301 0.407
Sc 0.202 0.028 0.594
Ge 0.292 0.415 0.750
Sc 0.301 0.140 0.907
Ge 0.415 0.292 0.250
N 0.000 0.500 0.000
N 0.328 0.843 0.000
N 0.672 0.157 0.000
Sc 0.028 0.202 0.094
Mo 0.632 0.471 0.915
Sc 0.798 0.972 0.406
Ge 0.585 0.708 0.750
Ge 0.708 0.585 0.250

***

Density functional theory data (PBE) for a relaxed structure of ScUZn.

Summary:
Magnetic moment, μB/atom: 1.0981
V, Å³ per cell: 74
SG: F-43m
Formation energy from the elements, eV per atom: 0.64
Excess energy over the best structure of this formula in the dataset, eV per atom: 0.000

Cell: 4.714 4.714 4.714 Å, 60.00 60.00 60.00°
Each line ends with the local moment (μB).
Element x y z (fractional)
Zn 0.000 0.000 0.000  0.00
Sc 0.250 0.250 0.250  0.38
U 0.750 0.750 0.750  2.43

***

Density functional theory data (PBE) for a relaxed structure of CdIn.

Summary:
E, eV/atom: -1.776
V, Å³ per cell: 49
SG: P-6m2

Cell: 3.274 3.274 5.331 Å, 90.00 90.00 120.00°
Element x y z (fractional)
Cd 0.667 0.333 0.750
In 0.333 0.667 0.250

***

Density functional theory data (PBE) for a relaxed structure of Ba3Ni2Os2.

Summary:
Magnetic moment, μB/atom: 0.2885
E, eV/atom: -4.592
V, Å³ per cell: 194
SG: R3m

Cell: 9.292 9.292 9.292 Å, 31.46 31.46 31.46°
Element x y z (fractional)
Ba 0.403 0.403 0.403
Ba 0.633 0.633 0.633
Ni 0.158 0.158 0.158
Ni 0.739 0.739 0.739
Os 0.069 0.069 0.069
Os 0.515 0.515 0.515
Ba 0.858 0.858 0.858

***

Density functional theory data (PBE) for a relaxed structure of NaPa2O6.

Summary:
Magnetic moment, μB/atom: 0.0007
E, eV/atom: -8.093
V, Å³ per cell: 120
SG: I4/mmm

Cell: 8.776 8.776 8.776 Å, 155.07 155.07 35.55°
Element x y z (fractional)
O 0.907 0.407 0.500
Na 0.000 0.000 0.000
O 0.593 0.093 0.500
O 0.407 0.907 0.500
O 0.250 0.750 0.500
O 0.093 0.593 0.500
Pa 0.662 0.662 0.000
O 0.750 0.250 0.500
Pa 0.338 0.338 0.000

***

Density functional theory data (PBE) for a relaxed structure of AlFeTcIr.

Summary:
Magnetic moment, μB/atom: 0.6902
V, Å³ per cell: 55
SG: F-43m
Excess energy over the best structure of this formula in the dataset, eV per atom: 0.000

Cell: 4.271 4.271 4.271 Å, 60.00 60.00 60.00°
Element x y z (fractional)
Tc 0.500 0.500 0.500
Ir 0.250 0.250 0.250
Fe 0.750 0.750 0.750
Al 0.000 0.000 0.000

***

> Which formula does entry 8 have?

ScUZn